# 1
Compound: Cr2InRu
Source: Alexandria via LeMat-Bulk
Functional: GGA-PBE
Structure: optimized geometry

Lattice parameters (Å, degrees): 6.2457 6.2457 6.2457 90.00 90.00 90.00
Closest atoms and distances in Å follow each position.
Space group Fm-3m (No. 225)
Asymmetric unit:
Cr (0.2500, 0.2500, 0.2500) (multiplicity 8)  4 In 2.70, 4 Ru 2.70
In (0.0000, 0.0000, 0.0000) (multiplicity 4)  8 Cr 2.70
Ru (0.0000, 0.0000, 0.5000) (multiplicity 4)  8 Cr 2.70

Results
For the formation energy, the calculation gives 0.4395 eV/atom. The calculation puts the energy above the most stable polymorph in this dataset at 0.95 eV/f.u. The calculated volume comes out at 15.2 Å³ per atom.

---

# 2
Compound: Cr2InRu
Source: Alexandria via LeMat-Bulk
Functional: GGA-PBE
Structure: optimized geometry

Lattice parameters (Å, degrees): 3.0570 4.4938 8.6285 90.00 90.00 90.00
Closest atoms and distances in Å follow each position.
Space group Imm2 (No. 44)
Asymmetric unit:
Cr (0.0000, 0.0000, 0.0000) (multiplicity 2)  2 Cr 2.39
Cr (0.0000, 0.5000, 0.2873) (multiplicity 2)  2 Cr 2.39, 2 Ru 2.61
In (0.0000, 0.5000, 0.7702) (multiplicity 2)  8 Cr 2.72-3.00, 4 Ru 2.80-2.99
Ru (0.0000, 0.0000, 0.5420) (multiplicity 2)  6 Cr 2.61-2.74, 2 In 2.80

Results
For the formation energy, the calculation gives 0.2512 eV/atom. The calculation puts the energy above the most stable polymorph in this dataset at 0.19 eV/f.u. The calculated volume comes out at 14.8 Å³ per atom.

---

# 3
Compound: CrInRu
Source: Alexandria via LeMat-Bulk
Functional: GGA-PBE
Structure: optimized geometry

Lattice parameters (Å, degrees): 2.9668 4.7878 13.3917 90.00 90.00 90.00
Closest atoms and distances in Å follow each position.
Space group Fmm2 (No. 42)
Asymmetric unit:
Cr (0.0000, 0.0000, 0.0000) (multiplicity 4)  2 Ru 2.43
In (0.0000, 0.0000, 0.6760) (multiplicity 4)  2 Cr 2.78, 6 In 2.82-2.97, 2 Ru 2.84
Ru (0.0000, 0.0000, 0.3566) (multiplicity 4)  2 Cr 2.43

Results
For the formation energy, the calculation gives 0.4914 eV/atom. The calculated volume comes out at 15.9 Å³ per atom.

---

# 4
Compound: CrInRu
Source: Alexandria via LeMat-Bulk
Functional: GGA-PBE
Structure: optimized geometry

Lattice parameters (Å, degrees): 3.9329 4.1818 6.2937 90.00 108.07 90.00
Closest atoms and distances in Å follow each position.
Space group P2_1/m (No. 11)
Asymmetric unit:
Cr (0.1133, 0.2500, 0.2243) (multiplicity 2)  4 Ru 2.55-2.68
In (0.4120, 0.2500, 0.8271) (multiplicity 2)  4 Ru 2.79-2.85, 6 Cr 2.89-3.10, 2 In 2.94
Ru (0.2521, 0.7500, 0.5032) (multiplicity 2)  4 Cr 2.55-2.68, 4 In 2.79-2.85

Results
For the formation energy, the calculation gives 0.2680 eV/atom. The calculated volume comes out at 16.4 Å³ per atom.

---

# 5
Compound: Cr2InRu
Source: Alexandria via LeMat-Bulk
Functional: GGA-PBE
Structure: optimized geometry

Lattice parameters (Å, degrees): 6.2618 6.2618 6.2618 90.00 90.00 90.00
Closest atoms and distances in Å follow each position.
Space group F-43m (No. 216)
Asymmetric unit:
Cr (0.0000, 0.0000, 0.0000) (multiplicity 4)  4 Cr 2.71, 4 Ru 2.71
Cr (0.2500, 0.2500, 0.2500) (multiplicity 4)  4 Cr 2.71, 4 In 2.71
In (0.0000, 0.0000, 0.5000) (multiplicity 4)  4 Cr 2.71, 4 Ru 2.71
Ru (0.2500, 0.2500, 0.7500) (multiplicity 4)  4 Cr 2.71, 4 In 2.71

Results
For the formation energy, the calculation gives 0.2436 eV/atom. The calculation puts the energy above the most stable polymorph in this dataset at 0.16 eV/f.u. The calculated volume comes out at 15.3 Å³ per atom.

---

# 6
Compound: CrIn4Ru
Source: Alexandria via LeMat-Bulk
Functional: GGA-PBE
Structure: optimized geometry

Lattice parameters (Å, degrees): 8.0680 8.0680 8.0680 90.00 90.00 90.00
Closest atoms and distances in Å follow each position.
Space group F-43m (No. 216)
Asymmetric unit:
Cr (0.0000, 0.0000, 0.0000) (multiplicity 4)  12 In 3.35, 4 Ru 3.49
In (0.1248, 0.1248, 0.6248) (multiplicity 16)  6 In 2.85-2.86
Ru (0.2500, 0.2500, 0.2500) (multiplicity 4)  12 In 3.34, 4 Cr 3.49

Results
For the formation energy, the calculation gives 0.7694 eV/atom. The calculated volume comes out at 21.9 Å³ per atom.